A plane-wave DFT calculation with PBE was carried out for a geometry-optimized BaSr2Zn2Pb2 structure.

Properties
Its symmetry is R-3m (166). The density of states at the Fermi level is 2.0 states/eV/f.u. The calculation puts the energy relative to the elements at -0.318 eV per atom. The crystal system is trigonal.

a b c (Å): 5.102 5.102 10.610
angles (deg): 76.09 76.09 60.00
Positions (direct):
Zn 0.568 0.568 0.297
Zn 0.432 0.432 0.703
Pb 0.742 0.742 0.774
Pb 0.258 0.258 0.226
Sr 0.865 0.865 0.404
Sr 0.135 0.135 0.596
Ba 0.000 0.000 0.000

A plane-wave DFT calculation with PBE was carried out for a geometry-optimized Rb3CdAg4 structure.

Properties
Its symmetry is Imm2 (44). The density of states at the Fermi level is 4.3 states/eV/f.u. The calculation puts the energy relative to the elements at 0.041 eV per atom. The crystal system is orthorhombic.

a b c (Å): 6.997 7.237 7.237
angles (deg): 64.14 61.09 61.09
Positions (direct):
Rb 0.416 0.340 0.829
Rb 0.416 0.829 0.340
Rb 0.059 0.941 0.941
Cd 0.019 0.481 0.481
Ag 0.502 0.301 0.301
Ag 0.896 0.301 0.301
Ag 0.771 0.544 0.914
Ag 0.771 0.914 0.544

A plane-wave DFT calculation with PBE was carried out for a geometry-optimized CsDyCuI5 structure.

Properties
Its symmetry is C2/c (15). The uncorrected formation energy is -1.09 eV/atom. The density of states at the Fermi level is 0.0 states/eV/f.u. The crystal system is monoclinic.

a b c (Å): 8.460 8.460 11.412
angles (deg): 104.04 104.04 105.03
Positions (direct):
I 0.780 0.619 0.428
I 0.689 0.100 0.388
I 0.100 0.689 0.888
I 0.220 0.381 0.572
I 0.925 0.075 0.750
I 0.075 0.925 0.250
I 0.381 0.220 0.072
I 0.900 0.311 0.112
I 0.311 0.900 0.612
I 0.619 0.780 0.928
Dy 0.000 0.000 0.500
Dy 0.000 0.000 0.000
Cs 0.645 0.355 0.750
Cs 0.355 0.645 0.250
Cu 0.309 0.691 0.750
Cu 0.691 0.309 0.250

A plane-wave DFT calculation with PBE was carried out for a geometry-optimized HgGeSN2 structure.

Properties
Its symmetry is P4/mmm (123). The distance to the lowest polymorph of the same formula comes out at 75.12 kJ per mole of atoms. The uncorrected formation energy is 1.87 eV/atom. The density of states at the Fermi level is 2.4 states/eV/f.u. The crystal system is tetragonal.

a b c (Å): 4.184 4.184 5.703
angles (deg): 90.00 90.00 90.00
Last column: magnetic moment on the atom in μB.
Positions (direct):
Ge 0.500 0.500 0.500  -0.10
Hg 0.000 0.000 0.000  0.11
N 0.500 0.000 0.000  1.01
N 0.000 0.500 0.000  1.01
S 0.000 0.000 0.500  0.17

A plane-wave DFT calculation with PBE was carried out for a geometry-optimized Pm2NdY5Tm structure.

Properties
Its symmetry is I4/mcm (140). The density of states at the Fermi level is 10.5 states/eV/f.u. The calculation puts the energy relative to the elements at 0.251 eV per atom. The crystal system is tetragonal.

a b c (Å): 8.613 8.613 9.994
angles (deg): 115.52 115.52 90.00
Positions (direct):
Y 0.569 0.654 0.722
Y 0.346 0.846 0.278
Y 0.654 0.154 0.722
Y 0.154 0.069 0.722
Y 0.931 0.431 0.278
Y 0.431 0.346 0.278
Y 0.500 0.500 0.000
Y 0.069 0.569 0.722
Y 0.846 0.931 0.278
Y 0.000 0.000 0.000
Tm 0.250 0.250 0.500
Tm 0.750 0.750 0.500
Pm 0.381 0.881 0.000
Pm 0.881 0.619 0.000
Pm 0.619 0.119 0.000
Pm 0.119 0.381 0.000
Nd 0.750 0.250 0.500
Nd 0.250 0.750 0.500

A plane-wave DFT calculation with PBE was carried out for a geometry-optimized La2ErAgTe5 structure.

Properties
Its symmetry is Cmc2_1 (36). The uncorrected formation energy is -1.28 eV/atom. The density of states at the Fermi level is 0.1 states/eV/f.u. The crystal system is orthorhombic.

a b c (Å): 4.444 9.788 13.330
angles (deg): 90.00 90.00 103.12
Positions (direct):
Te 0.355 0.711 0.000
Te 0.957 0.913 0.573
Te 0.645 0.289 0.500
Te 0.499 0.997 0.776
Te 0.304 0.608 0.345
Te 0.501 0.003 0.276
Te 0.713 0.425 0.167
Te 0.696 0.392 0.845
Te 0.043 0.087 0.073
Te 0.287 0.575 0.667
Er 0.193 0.385 0.010
Er 0.807 0.615 0.510
La 0.111 0.223 0.687
La 0.876 0.751 0.807
La 0.889 0.777 0.187
La 0.124 0.249 0.307
Ag 0.431 0.862 0.458
Ag 0.569 0.138 0.958

A plane-wave DFT calculation with PBE was carried out for a geometry-optimized LiLa2Sc structure.

Properties
Its symmetry is P4/mmm (123). The distance to the lowest polymorph of the same formula comes out at 0.00 kJ per mole of atoms. The density of states at the Fermi level is 5.4 states/eV/f.u. The calculation puts the energy relative to the elements at 0.088 eV per atom. The crystal system is tetragonal.

a b c (Å): 3.860 3.860 8.230
angles (deg): 90.00 90.00 90.00
Positions (direct):
La 0.000 0.000 0.498
La 0.000 0.000 0.002
Sc 0.500 0.500 0.750
Li 0.500 0.500 0.250

A plane-wave DFT calculation with PBE was carried out for a geometry-optimized LiV4Se7 structure.

Properties
Its symmetry is P-3m1 (164). The uncorrected formation energy is -0.68 eV/atom. The density of states at the Fermi level is 8.8 states/eV/f.u. The crystal system is trigonal.

a b c (Å): 3.455 3.455 22.954
angles (deg): 90.00 90.00 120.00
Last column: magnetic moment on the atom in μB.
Positions (direct):
Se 0.333 0.667 0.142  -0.10
Se 0.000 0.000 0.000  -0.08
Se 0.000 0.000 0.713  0.00
Se 0.333 0.667 0.422  0.00
Se 0.667 0.333 0.858  -0.10
Se 0.000 0.000 0.287  0.00
Se 0.667 0.333 0.578  0.00
V 0.333 0.667 0.922  1.87
V 0.333 0.667 0.646  -0.04
V 0.667 0.333 0.078  1.87
V 0.667 0.333 0.354  -0.04
Li 0.000 0.000 0.500  0.00

A plane-wave DFT calculation with PBE was carried out for a geometry-optimized SrAgOF2 structure.

Properties
Its symmetry is P4/mmm (123). The distance to the lowest polymorph of the same formula comes out at 20.98 kJ per mole of atoms. The uncorrected formation energy is -1.63 eV/atom. The density of states at the Fermi level is 5.4 states/eV/f.u. The crystal system is tetragonal.

a b c (Å): 4.658 4.658 4.789
angles (deg): 90.00 90.00 90.00
Last column: magnetic moment on the atom in μB.
Positions (direct):
F 0.500 0.000 0.000  0.00
F 0.000 0.500 0.000  0.00
O 0.000 0.000 0.500  -0.79
Sr 0.000 0.000 0.000  -0.02
Ag 0.500 0.500 0.500  -0.01

A plane-wave DFT calculation with PBE was carried out for a geometry-optimized YBeSi3 structure.

Properties
Its symmetry is Pm-3m (221). The distance to the lowest polymorph of the same formula comes out at 137.53 kJ per mole of atoms. The uncorrected formation energy is 1.64 eV/atom. The density of states at the Fermi level is 5.4 states/eV/f.u. The crystal system is cubic.

a b c (Å): 5.312 5.312 5.312
angles (deg): 90.00 90.00 90.00
Positions (direct):
Y 0.000 0.000 0.000
Si 0.500 0.000 0.000
Si 0.000 0.500 0.000
Si 0.000 0.000 0.500
Be 0.500 0.500 0.500

A plane-wave DFT calculation with PBE was carried out for a geometry-optimized Ba2MgPt4Pb3 structure.

Properties
Its symmetry is P-4m2 (115). The density of states at the Fermi level is 5.3 states/eV/f.u. The calculation puts the energy relative to the elements at -0.566 eV per atom. The crystal system is tetragonal.

a b c (Å): 4.872 4.872 11.012
angles (deg): 90.00 90.00 90.00
Positions (direct):
Ba 0.500 0.000 0.242
Ba 0.000 0.500 0.758
Pt 0.500 0.500 0.000
Pt 0.500 0.000 0.622
Pt 0.000 0.000 0.000
Pt 0.000 0.500 0.378
Pb 0.000 0.000 0.500
Pb 0.500 0.000 0.877
Pb 0.000 0.500 0.123
Mg 0.500 0.500 0.500

A plane-wave DFT calculation with PBE was carried out for a geometry-optimized SrCa2AlCu structure.

Properties
Its symmetry is P4/mmm (123). The density of states at the Fermi level is 4.3 states/eV/f.u. The calculation puts the energy relative to the elements at -0.036 eV per atom. The crystal system is tetragonal.

a b c (Å): 5.633 5.633 4.855
angles (deg): 90.00 90.00 90.00
Positions (direct):
Cu 0.000 0.000 0.000
Ca 0.000 0.500 0.000
Ca 0.500 0.000 0.000
Sr 0.500 0.500 0.500
Al 0.000 0.000 0.500